This record from OQMD via LeMat-Bulk describes an optimized crystal structure of CoSbPtW. The functional is GGA-PBE. Values from VASP.

Properties
SG = F-43m
electronic total energy = -28.302 eV/cell
calculated volume = 64.0 Å³/f.u.
total magnetization = 0.243 Bohr magnetons per cell

```
&SYSTEM
  ibrav = 0, nat = 4, ntyp = 4
/
ATOMIC_SPECIES
Co 58.93 Co.upf
Pt 195.08 Pt.upf
Sb 121.76 Sb.upf
W 183.84 W.upf
CELL_PARAMETERS angstrom
0.000 3.175 3.175
3.175 0.000 3.175
3.175 3.175 0.000
ATOMIC_POSITIONS crystal
Co 0.750 0.750 0.750
Pt 0.250 0.250 0.250
Sb 0.000 0.000 0.000
W 0.500 0.500 0.500
```